Record 1
Here is a relaxed structure of CdP2Pt2 from the Alexandria database. Energies are from PBE-GGA.

Output
V   170.3 Å³/cell
Crystal system   tetragonal
Final energy   -49.5 eV/cell

Structure (CIF):
```
data_CdP2Pt2
_symmetry_space_group_name_H-M 'I 4/m m m'
_symmetry_Int_Tables_number 139
_symmetry_space_group_name_Hall '-I 4 2'
_cell_length_a 4.479
_cell_length_b 4.479
_cell_length_c 8.489
_cell_angle_alpha 90.00
_cell_angle_beta 90.00
_cell_angle_gamma 90.00
loop_
_atom_site_label
_atom_site_type_symbol
_atom_site_fract_x
_atom_site_fract_y
_atom_site_fract_z
Cd1 Cd 0.000 0.000 0.000
P1 P 0.000 0.000 0.369
Pt1 Pt 0.000 0.500 0.250
```



Record 2
Here is a relaxed structure of CdPPt from the Alexandria database. Energies are from PBE-GGA.

Output
V   62.8 Å³/cell
Crystal system   monoclinic
Final energy   -12.4 eV/cell

Structure (CIF):
```
data_CdPPt
_symmetry_space_group_name_H-M 'P 1 m 1'
_symmetry_Int_Tables_number 6
_cell_length_a 4.551
_cell_length_b 2.893
_cell_length_c 4.806
_cell_angle_alpha 90.00
_cell_angle_beta 96.82
_cell_angle_gamma 90.00
loop_
_symmetry_equiv_pos_as_xyz
'x,y,z'
'x,-y,z'
loop_
_atom_site_label
_atom_site_type_symbol
_atom_site_fract_x
_atom_site_fract_y
_atom_site_fract_z
Cd1 Cd 0.000 0.000 0.000
P1 P 0.381 0.500 0.414
Pt1 Pt 0.887 0.500 0.505
```



Record 3
Here is a relaxed structure of CdPPt from the Alexandria database. Energies are from PBE-GGA.

Output
V   157.3 Å³/cell
Crystal system   monoclinic
Final energy   -25.0 eV/cell

Structure (CIF):
```
data_CdPPt
_symmetry_space_group_name_H-M 'C 1 m 1'
_symmetry_Int_Tables_number 8
_cell_length_a 8.519
_cell_length_b 4.605
_cell_length_c 4.389
_cell_angle_alpha 90.00
_cell_angle_beta 113.98
_cell_angle_gamma 90.00
loop_
_symmetry_equiv_pos_as_xyz
'x,y,z'
'x,-y,z'
'x+1/2,y+1/2,z'
'x+1/2,-y+1/2,z'
loop_
_atom_site_label
_atom_site_type_symbol
_atom_site_fract_x
_atom_site_fract_y
_atom_site_fract_z
Cd1 Cd 0.000 0.000 0.000
P1 P 0.151 0.500 0.387
Pt1 Pt 0.157 0.500 0.891
```



Record 4
Here is a relaxed structure of CdPPt from the Alexandria database. Energies are from PBE-GGA.

Output
V   60.1 Å³/cell
Crystal system   trigonal
Final energy   -13.0 eV/cell

Structure (CIF):
```
data_CdPPt
_symmetry_space_group_name_H-M 'P 3 m 1'
_symmetry_Int_Tables_number 156
_cell_length_a 3.3996
_cell_length_b 3.3996
_cell_length_c 6.0034
_cell_angle_alpha 90.00
_cell_angle_beta 90.00
_cell_angle_gamma 120.00
loop_
_symmetry_equiv_pos_as_xyz
'x,y,z'
'-y,x-y,z'
'-x+y,-x,z'
'-y,-x,z'
'-x+y,y,z'
'x,x-y,z'
loop_
_atom_site_label
_atom_site_type_symbol
_atom_site_fract_x
_atom_site_fract_y
_atom_site_fract_z
Cd1 Cd 0.0000 0.0000 0.0000
P1 P 0.0000 0.0000 0.4338
Pt1 Pt 0.3333 0.6667 0.6387
```



Computed offset from the most stable computed form (meV per atom) in order:
0.0; 234.2; 221.1; 54.2
Computed formation enthalpy at 0 K (eV/atom) in order:
-0.1865; -0.0250; -0.0381; -0.2050
Computed Fermi-level density of states (states/eV/atom) in order:
0.350; 0.723; 0.386; 0.382